Below is HoTiBr after structural relaxation, with properties calculated at the GGA-PBE level.

CIF file:
```
data_HoTiBr
_chemical_formula_sum 'Ho2 Ti2 Br2'
_space_group_name_H-M_alt 'P 1 21/m 1'
_space_group_IT_number 11
_space_group_name_Hall '-P 2yb'
_cell_length_a 5.627
_cell_length_b 3.430
_cell_length_c 7.632
_cell_angle_alpha 90.00
_cell_angle_beta 100.67
_cell_angle_gamma 90.00
loop_
_atom_site_label
_atom_site_fract_x
_atom_site_fract_y
_atom_site_fract_z
_atom_site_occupancy
Ho1 0.133 0.250 0.184 1
Ti1 0.401 0.250 0.863 1
Br1 0.269 0.750 0.590 1
```

Output
crystal system: monoclinic
E_tot: -5.15 eV/atom